Entry from Alexandria: KW3I after structural relaxation (PBE).

Output
Relative energy among the computed polymorphs ... 1182.0 meV per atom
Energy relative to the elements, uncorrected ... 1931 kJ/mol of formula units
Total magnetization ... 0.00 μB per cell
Volume ... 21.1 A^3/atom

Cell lengths 4.7263, 4.7263, 4.7263 Å; angles 90.00, 90.00, 90.00 degrees
Last column: nearest neighbours and their distance in Å.
Positions (direct):
K 0.0000 0.0000 0.0000  6 W 2.36
W 0.0000 0.0000 0.5000  2 K 2.36
W 0.0000 0.5000 0.0000  2 K 2.36
W 0.5000 0.0000 0.0000  2 K 2.36
I 0.5000 0.5000 0.5000  12 W 3.34